# 1
Compound: Nd3Ho4Se8
Source: the Alexandria database
Functional: GGA-PBE
Structure: relaxed

Cell: 8.2561 8.2561 8.2328 Å, 119.86 119.86 90.03°
Last column: nearest neighbours and their distance in Å.
Positions (direct):
Nd 0.0000 0.0000 0.0000  6 Se 2.98
Nd 0.0000 0.5000 0.0000  6 Se 2.92
Nd 0.5000 0.0000 0.0000  6 Se 2.92
Ho 0.0000 0.5000 0.5000  6 Se 2.92
Ho 0.5000 0.0000 0.5000  6 Se 2.92
Ho 0.5000 0.5000 0.0000  6 Se 2.86
Ho 0.5000 0.5000 0.5000  6 Se 2.90-2.91
Se 0.2509 0.7491 0.5000  3 Ho 2.91-2.92, 2 Nd 2.92
Se 0.2552 0.2552 0.5097  4 Ho 2.86-2.92, 1 Nd 2.98
Se 0.2550 0.7450 0.0000  3 Ho 2.86-2.92, 3 Nd 2.92-2.98
Se 0.2565 0.2565 0.0029  2 Ho 2.86-2.90, 3 Nd 2.92-2.98
Se 0.7435 0.7435 0.9971  2 Ho 2.86-2.90, 3 Nd 2.92-2.98
Se 0.7450 0.2550 0.0000  3 Ho 2.86-2.92, 3 Nd 2.92-2.98
Se 0.7448 0.7448 0.4903  4 Ho 2.86-2.92, 1 Nd 2.98
Se 0.7491 0.2509 0.5000  3 Ho 2.91-2.92, 2 Nd 2.92

Properties
The total energy comes out at -5.864 eV/atom. The formation energy from raw total energies is -1831 meV/atom. The space group is No. 12. The calculation puts the density of states at the Fermi level at 6.56 states/eV per cell.

# 2
Compound: ScReBr
Source: the Alexandria database
Functional: GGA-PBE
Structure: relaxed

Cell: 4.5251 4.5251 3.0417 Å, 90.00 90.00 120.00°
Last column: nearest neighbours and their distance in Å.
Positions (direct):
Sc 0.0000 0.0000 0.0000  6 Br 3.02, 6 Re 3.02, 2 Sc 3.04
Re 0.3333 0.6667 0.5000  3 Br 2.61
Br 0.6667 0.3333 0.5000  3 Re 2.61

Properties
The total energy comes out at -6.426 eV/atom. The formation energy from raw total energies is 392 meV/atom. The space group is No. 187. The calculation puts the density of states at the Fermi level at 2.05 states/eV per cell.